1.
The following is a DFT calculation (SCAN) of a PBEsol-optimized structure of KLaPb2.

```
KLaPb2
1.0
3.644 0.000 0.000
0.000 4.829 0.000
0.000 0.000 7.647
K La Pb
1 1 2
direct
0.000 0.000 0.000
0.000 0.000 0.500
0.500 0.500 0.293
0.500 0.500 0.707
```

## Properties
* energy relative to the elements: -0.583 eV/atom
* relative energy among the computed polymorphs: 0 meV/atom
* E: -51.332 eV/atom


2.
The following is a DFT calculation (SCAN) of a PBEsol-optimized structure of KLaPb3.

```
KLaPb3
1.0
5.636 0.000 0.000
0.000 5.636 0.000
0.000 0.000 5.636
K La Pb
1 1 3
direct
0.000 0.000 0.000
0.500 0.500 0.500
0.000 0.000 0.500
0.000 0.500 0.000
0.500 0.000 0.000
```

## Properties
* energy relative to the elements: 0.412 eV/atom
* E: -55.344 eV/atom